## TcP2Pt (GGA-PBEsol)

Data for crystalline TcP2Pt at its relaxed geometry.

The structure belongs to space group Fm-3m (No. 225); the cell edges are 5.9943, 5.9943 and 5.9943 Å and the angles 90.00°, 90.00° and 90.00°. The distinct sites, in fractional coordinates, are Tc at (0.0000, 0.0000, 0.0000), P at (0.2500, 0.2500, 0.2500) and Pt at (0.0000, 0.0000, 0.5000).

As for the size of the total moment: 0.1632 μB/atom. For the energy relative to the lowest polymorph listed for this composition, the calculation gives 0.212 eV/atom. For the calculated formation energy, the calculation gives 0.01 eV/atom. The calculation puts the calculated total energy at -7.45 eV per atom. The volume comes out at 13.46 Å³/atom. The density of states at the Fermi level comes out at 19.4 states/eV per cell.

=====

## K2SrP (GGA-PBEsol)

Data for crystalline K2SrP at its relaxed geometry.

The structure belongs to space group Immm (No. 71); the cell edges are 3.9795, 4.5906 and 18.9278 Å and the angles 90.00°, 90.00° and 90.00°. The distinct sites, in fractional coordinates, are K at (0.0000, 0.0000, 0.1508), Sr at (0.0000, 0.5000, 0.0000) and P at (0.0000, 0.5000, 0.5000).

As for the size of the total moment: 0.0001 μB/atom. For the calculated formation energy, the calculation gives -0.37 eV/atom. The calculation puts the calculated total energy at -2.84 eV per atom. The volume comes out at 43.22 Å³/atom. The density of states at the Fermi level comes out at 3.3 states/eV per cell.

=====

## LaRuO2 (GGA-PBEsol)

Data for crystalline LaRuO2 at its relaxed geometry.

The structure belongs to space group R-3m (No. 166, hexagonal axes); the cell edges are 3.8218, 3.8218 and 17.2467 Å and the angles 90.00°, 90.00° and 120.00°. The distinct sites, in fractional coordinates, are La at (0.0000, 0.0000, 0.0000), Ru at (0.0000, 0.0000, 0.5000) and O at (0.0000, 0.0000, 0.3889).

As for the size of the total moment: 0.6802 μB/atom. For the energy relative to the lowest polymorph listed for this composition, the calculation gives 0.000 eV/atom. The calculation puts the calculated total energy at -8.18 eV per atom. The volume comes out at 18.18 Å³/atom. The raw formation energy is -1679 meV/atom. The density of states at the Fermi level comes out at 5.3 states/eV per cell.